No. 1
! PBE Pm2GePt, relaxed; values from VASP
&SYSTEM
  ibrav = 0, nat = 8, ntyp = 3
/
ATOMIC_SPECIES
Ge 72.64 Ge.upf
Pm 145.00 Pm.upf
Pt 195.08 Pt.upf
ATOMIC_POSITIONS angstrom
Ge -2.290 0.001 0.542
Ge -6.360 2.666 1.694
Pm -4.642 0.252 2.662
Pm -5.290 5.596 1.320
Pm -3.361 -2.929 0.915
Pm -4.008 2.414 -0.427
Pt -3.685 3.316 2.415
Pt -4.965 -0.649 -0.180
CELL_PARAMETERS angstrom
-2.867 0.632 -3.254
-3.126 -4.723 1.835
-2.658 6.757 3.654
! Energy relative to the elements ... -1.002 eV/atom
! DOS(E_F) ... 0.3178 states/eV/atom
! Total magnetization ... 0.00 Bohr magnetons per cell


No. 2
! PBE Pm3Ge2Pt9, relaxed; values from VASP
&SYSTEM
  ibrav = 0, nat = 14, ntyp = 3
/
ATOMIC_SPECIES
Pt 195.08 Pt.upf
Pm 145.00 Pm.upf
Ge 72.64 Ge.upf
ATOMIC_POSITIONS angstrom
Pt -1.032 -1.383 2.705
Pt -1.499 1.006 6.210
Pt -6.109 1.547 7.786
Pt -2.684 2.472 4.250
Pt -0.447 -1.371 5.412
Pt -5.523 1.559 10.493
Pt -3.872 -2.295 8.948
Pt -4.221 -0.679 11.170
Pt -2.335 0.855 2.028
Pm -3.379 -0.607 4.497
Pm -3.177 0.783 8.701
Pm 0.000 0.000 0.000
Ge -4.601 2.361 5.911
Ge -1.955 -2.185 7.287
CELL_PARAMETERS angstrom
-3.558 -1.836 0.778
1.166 -3.571 7.595
-4.164 5.583 4.826
! Energy relative to the elements ... -0.784 eV/atom
! DOS(E_F) ... 0.5081 states/eV/atom
! Total magnetization ... 0.00 Bohr magnetons per cell